# 1
DySi2Rh2: relaxed, PBE.

Cell lengths 5.7613, 5.7613, 5.7613 Å; angles 138.74, 138.74, 59.77 degrees
Fractional positions:
1 Rh 0.2500 0.7500 0.5000
2 Rh 0.7500 0.2500 0.5000
3 Dy 0.0000 0.0000 0.0000
4 Si 0.6213 0.6213 0.0000
5 Si 0.3787 0.3787 0.0000

Summary:
Formation energy from raw total energies (meV/atom): -1122


# 2
Dy3Si2Rh: relaxed, PBE.

Cell lengths 4.1765, 11.1804, 11.5445 Å; angles 90.00, 90.00, 90.00 degrees
Fractional positions:
1 Dy 0.2500 0.0569 0.8790
2 Dy 0.2500 0.1256 0.5550
3 Dy 0.7500 0.1993 0.2824
4 Dy 0.2500 0.8007 0.7176
5 Dy 0.2500 0.4431 0.3790
6 Dy 0.7500 0.3007 0.7824
7 Dy 0.7500 0.9431 0.1210
8 Dy 0.7500 0.6256 0.9450
9 Dy 0.7500 0.5569 0.6210
10 Dy 0.2500 0.6993 0.2176
11 Dy 0.2500 0.3744 0.0550
12 Dy 0.7500 0.8744 0.4450
13 Si 0.7500 0.3128 0.5162
14 Si 0.2500 0.0006 0.3081
15 Si 0.7500 0.1872 0.0162
16 Si 0.2500 0.6872 0.4838
17 Si 0.2500 0.4994 0.8081
18 Si 0.7500 0.5006 0.1919
19 Si 0.2500 0.8128 0.9838
20 Si 0.7500 0.9994 0.6919
21 Rh 0.2500 0.3677 0.6303
22 Rh 0.2500 0.1323 0.1303
23 Rh 0.7500 0.6323 0.3697
24 Rh 0.7500 0.8677 0.8697

Summary:
Formation energy from raw total energies (meV/atom): -837


# 3
Dy4Si6Rh7: relaxed, PBE.

Cell lengths 7.1764, 7.1764, 7.1764 Å; angles 109.47, 109.47, 109.47 degrees
Fractional positions:
1 Si 0.0000 0.6704 0.6704
2 Si 0.0000 0.3296 0.3296
3 Si 0.6704 0.6704 0.0000
4 Si 0.6704 0.0000 0.6704
5 Si 0.3296 0.0000 0.3296
6 Si 0.3296 0.3296 0.0000
7 Dy 0.5000 0.5000 0.5000
8 Dy 0.0000 0.5000 0.0000
9 Dy 0.0000 0.0000 0.5000
10 Dy 0.5000 0.0000 0.0000
11 Rh 0.7500 0.5000 0.2500
12 Rh 0.5000 0.7500 0.2500
13 Rh 0.2500 0.5000 0.7500
14 Rh 0.2500 0.7500 0.5000
15 Rh 0.7500 0.2500 0.5000
16 Rh 0.0000 0.0000 0.0000
17 Rh 0.5000 0.2500 0.7500

Summary:
Formation energy from raw total energies (meV/atom): -1039


# 4
Dy2Si3Rh2: relaxed, PBE.

Cell lengths 4.1638, 5.4219, 6.4755 Å; angles 113.12, 90.00, 112.58 degrees
Fractional positions:
1 Dy 0.8474 0.6948 0.2275
2 Dy 0.1526 0.3052 0.7725
3 Si 0.5000 0.0000 0.0000
4 Si 0.3862 0.7724 0.5600
5 Si 0.6138 0.2276 0.4400
6 Rh 0.1325 0.2649 0.2294
7 Rh 0.8675 0.7351 0.7706

Summary:
Formation energy from raw total energies (meV/atom): -855